DFT (GGA+U) results for a relaxed structure of Co2CuAgF8. Values from VASP.

Quantum ESPRESSO input file:
```
&SYSTEM
  ibrav = 0, nat = 12, ntyp = 4
/
ATOMIC_SPECIES
F 19.00 F.upf
Co 58.93 Co.upf
Ag 107.87 Ag.upf
Cu 63.55 Cu.upf
ATOMIC_POSITIONS crystal
F 0.3106 0.3046 0.0000
Co 0.5000 0.5000 0.7599
F 0.7981 0.2062 0.7784
F 0.6894 0.6954 0.0000
Ag 0.0000 0.0000 0.5000
F 0.2019 0.7938 0.2216
F 0.7981 0.2061 0.2221
Co 0.5000 0.5000 0.2401
F 0.2019 0.7939 0.7779
Cu 0.0000 0.0000 0.0000
F 0.3257 0.3216 0.5000
F 0.6743 0.6784 0.5000
CELL_PARAMETERS angstrom
-3.6928 -2.7955 -1.3503
2.0776 -0.9325 -4.2211
3.0285 -5.2719 2.6491
```

Properties
The calculation puts the volume at 153.40 Å³ per cell. As for the total energy: -4.381 eV per atom.